# YHf3Bi

YHf3Bi after structural relaxation (PBE, Alexandria via LeMat-Bulk).

Calculated values
Its offset from the most stable computed form is 0.000 eV per atom. The formation energy is 0.977 eV per atom. The density of states at the Fermi level is 1.19 states/eV/atom. The crystal system is cubic.

a b c (Å): 5.390 5.390 5.390
angles (deg): 90.00 90.00 90.00
Space group Pm-3m (No. 221)
One atom of each set of equivalent atoms:
Y 0.000 0.000 0.000 x1
Hf 0.000 0.500 0.500 x3
Bi 0.500 0.500 0.500 x1